# 1
4
Lattice="-2.5971 2.8396 3.6106 -4.4955 2.4400 -1.2966 -4.5961 -1.7419 1.9199" Properties=species:S:1:pos:R:3 comment="CeErLuZn GGA-PBE optimized geometry" e_form_kj_per_mol_fu=16.8 space_group="F-43m (216)" mass_density_g_cm3=8.75 m_tot_mub_per_cell=1.4 pbc="T T T"
Er -8.7665 2.6532 3.1754
Lu -5.8443 1.7688 2.1170
Zn 0.0000 0.0000 0.0000
Ce -2.9222 0.8844 1.0585



# 2
8
Lattice="12.2538 0.0000 0.0000 0.0000 12.2538 0.0000 6.1269 6.1269 2.3686" Properties=species:S:1:pos:R:3 comment="Ba2ReW GGA-PBE optimized geometry" e_form_kj_per_mol_fu=518.2 space_group="I-42d (122)" de_polymorph_mev_per_atom=771 mass_density_g_cm3=6.02 m_tot_mub_per_cell=1.3 pbc="T T T"
Re 0.0000 0.0000 0.0000
Re 12.2538 6.1269 1.1843
Ba 13.1413 9.1903 0.5921
Ba 9.1903 7.0144 1.7764
Ba 15.3172 5.2394 1.7764
Ba 11.3662 3.0634 0.5921
W 6.1269 12.2538 1.1843
W 6.1269 6.1269 0.0000



# 3
4
Lattice="4.2561 0.0000 0.0000 2.1281 3.6859 0.0000 2.1281 1.2286 7.4187" Properties=species:S:1:pos:R:3 comment="Ac2NiPd GGA-PBE optimized geometry" e_form_kj_per_mol_fu=-163.3 space_group="R3m (160)" mass_density_g_cm3=8.83 m_tot_mub_per_cell=0.0 pbc="T T T"
Ni 4.2561 2.4573 0.0040
Ac 2.1281 1.2286 5.7112
Ac 2.1281 1.2286 1.7192
Pd 4.2561 2.4573 3.6936



What did the third record say?
4
Lattice="4.2561 0.0000 0.0000 2.1281 3.6859 0.0000 2.1281 1.2286 7.4187" Properties=species:S:1:pos:R:3 comment="Ac2NiPd GGA-PBE optimized geometry" e_form_kj_per_mol_fu=-163.3 space_group="R3m (160)" mass_density_g_cm3=8.83 m_tot_mub_per_cell=0.0 pbc="T T T"
Ni 4.2561 2.4573 0.0040
Ac 2.1281 1.2286 5.7112
Ac 2.1281 1.2286 1.7192
Pd 4.2561 2.4573 3.6936